(1)
Compound: LaBRh6
Source: Alexandria via LeMat-Bulk
Functional: PBE
Structure: relaxed

## Properties
Spin magnetization = 0.00 μB per cell
Formation enthalpy at 0 K = -199 meV per atom

a b c (Å): 5.6809 5.6809 14.1516
angles (deg): 90.00 90.00 120.00
Space group R-3m (No. 166, hexagonal axes)
Unique sites:
La 0.0000 0.0000 0.0000 [3 per cell]
B 0.0000 0.0000 0.5000 [3 per cell]
Rh 0.0229 0.5114 0.9109 [18 per cell]

(2)
Compound: LiHo2PaAs4
Source: Alexandria via LeMat-Bulk
Functional: PBE
Structure: relaxed

## Properties
Spin magnetization = 0.00 μB per cell
Formation enthalpy at 0 K = -1113 meV per atom

a b c (Å): 6.928 4.132 7.088
angles (deg): 90.00 108.60 90.00
Space group P2/m (No. 10)
Unique sites:
Li 0.000 0.000 0.000 [1 per cell]
Ho 0.000 0.500 0.500 [1 per cell]
Ho 0.500 0.000 0.500 [1 per cell]
Pa 0.500 0.500 0.000 [1 per cell]
As 0.250 0.000 0.756 [2 per cell]
As 0.257 0.500 0.246 [2 per cell]

(3)
Compound: VHIrPd2
Source: Alexandria via LeMat-Bulk
Functional: PBE
Structure: relaxed

## Properties
Spin magnetization = 1.16 μB per cell
VASP energy = -32.132 eV/f.u.

a b c (Å): 3.851 3.851 4.108
angles (deg): 90.00 90.00 90.00
Space group P4/mmm (No. 123)
Unique sites:
V 0.000 0.000 0.000 [1 per cell]
H 0.000 0.000 0.500 [1 per cell]
Ir 0.500 0.500 0.000 [1 per cell]
Pd 0.000 0.500 0.500 [2 per cell]

(4)
Compound: CrIr2Pt
Source: Alexandria via LeMat-Bulk
Functional: PBE
Structure: relaxed

## Properties
Spin magnetization = 0.01 μB per cell
Formation enthalpy at 0 K = 315 meV per atom

a b c (Å): 6.149 6.149 6.149
angles (deg): 90.00 90.00 90.00
Space group Fm-3m (No. 225)
Unique sites:
Cr 0.000 0.000 0.000 [4 per cell]
Ir 0.250 0.250 0.250 [8 per cell]
Pt 0.000 0.000 0.500 [4 per cell]

(5)
Compound: CsSnP2S6
Source: Alexandria via LeMat-Bulk
Functional: PBE
Structure: relaxed

## Properties
Formation energy from raw total energies = -0.369 eV per atom
Spin magnetization = 2.33 μB per cell

a b c (Å): 10.324 15.232 9.192
angles (deg): 90.00 111.18 90.00
Space group C2/c (No. 15)
Unique sites:
Cs 0.000 0.157 0.250 [4 per cell]
Sn 0.000 0.477 0.750 [4 per cell]
P 0.237 0.372 0.287 [8 per cell]
S 0.064 0.388 0.091 [8 per cell]
S 0.128 0.221 0.696 [8 per cell]
S 0.211 0.018 0.586 [8 per cell]

(6)
Compound: LiAg2Cl
Source: Alexandria via LeMat-Bulk
Functional: PBE
Structure: relaxed

## Properties
Formation energy from raw total energies = -0.250 eV per atom
Spin magnetization = 0.00 μB per cell

a b c (Å): 3.263 6.496 8.401
angles (deg): 90.00 90.00 90.00
Space group Imm2 (No. 44)
Unique sites:
Li 0.000 0.000 0.000 [2 per cell]
Ag 0.000 0.000 0.549 [2 per cell]
Ag 0.000 0.500 0.783 [2 per cell]
Cl 0.000 0.500 0.314 [2 per cell]

(7)
Compound: ErSc2TcO
Source: Alexandria via LeMat-Bulk
Functional: PBE
Structure: relaxed

## Properties
Formation energy from raw total energies = -1.208 eV per atom
Spin magnetization = 0.00 μB per cell

a b c (Å): 4.273 4.273 4.906
angles (deg): 90.00 90.00 90.00
Space group P4mm (No. 99)
Unique sites:
Er 0.000 0.000 0.000 [1 per cell]
Sc 0.000 0.500 0.479 [2 per cell]
Tc 0.500 0.500 0.077 [1 per cell]
O 0.000 0.000 0.527 [1 per cell]

(8)
Compound: KThBr5
Source: Alexandria via LeMat-Bulk
Functional: PBE
Structure: relaxed

## Properties
Formation energy from raw total energies = -1.723 eV per atom
Spin magnetization = 0.00 μB per cell

a b c (Å): 13.675 9.286 9.177
angles (deg): 90.00 90.00 90.00
Space group Cmcm (No. 63)
Unique sites:
K 0.000 0.000 0.000 [4 per cell]
Th 0.000 0.439 0.250 [4 per cell]
Br 0.000 0.248 0.750 [4 per cell]
Br 0.132 0.199 0.250 [8 per cell]
Br 0.133 0.500 0.000 [8 per cell]

(9)
Compound: Zr2PaIn2
Source: Alexandria via LeMat-Bulk
Functional: PBE
Structure: relaxed

## Properties
Spin magnetization = 0.00 μB per cell
Formation enthalpy at 0 K = -111 meV per atom

a b c (Å): 10.229 4.492 6.988
angles (deg): 90.00 132.87 90.00
Space group C2/m (No. 12)
Unique sites:
Zr 0.207 0.000 0.304 [4 per cell]
Pa 0.000 0.000 0.500 [2 per cell]
In 0.084 0.500 0.891 [4 per cell]

(10)
Compound: Tm2ScB2Ru5
Source: Alexandria via LeMat-Bulk
Functional: PBE
Structure: relaxed

## Properties
Spin magnetization = 0.00 μB per cell
Formation enthalpy at 0 K = -494 meV per atom

a b c (Å): 9.683 9.683 3.134
angles (deg): 90.00 90.00 90.00
Space group P4/mbm (No. 127)
Unique sites:
Tm 0.176 0.324 0.000 [4 per cell]
Sc 0.000 0.000 0.000 [2 per cell]
B 0.122 0.622 0.000 [4 per cell]
Ru 0.000 0.500 0.500 [2 per cell]
Ru 0.070 0.777 0.500 [8 per cell]

(11)
Compound: Tb5Pd3Au12
Source: Alexandria via LeMat-Bulk
Functional: PBE
Structure: relaxed

## Properties
Spin magnetization = 0.00 μB per cell
Formation enthalpy at 0 K = -157 meV per atom

a b c (Å): 16.165 16.165 16.165
angles (deg): 90.00 90.00 90.00
Space group Ia-3d (No. 230)
Unique sites:
Tb 0.000 0.000 0.000 [16 per cell]
Tb 0.000 0.250 0.375 [24 per cell]
Pd 0.000 0.250 0.125 [24 per cell]
Au 0.011 0.085 0.652 [96 per cell]

(12)
Compound: Fe2AgPt
Source: Alexandria via LeMat-Bulk
Functional: PBE
Structure: relaxed

## Properties
Spin magnetization = 12.15 μB per cell
Formation enthalpy at 0 K = 70 meV per atom

a b c (Å): 9.193 2.765 4.715
angles (deg): 90.00 105.04 90.00
Space group Cm (No. 8)
Unique sites:
Fe 0.000 0.000 0.000 [2 per cell]
Fe 0.222 0.500 0.261 [2 per cell]
Ag 0.482 0.000 0.489 [2 per cell]
Pt 0.252 0.000 0.789 [2 per cell]